Computed, not measured: a relaxed structure of BeHg5 at the GGA-PBE level of DFT. Values from VASP.

The structure in Quantum ESPRESSO input format:
```
&SYSTEM
  ibrav = 0, nat = 6, ntyp = 2
/
ATOMIC_SPECIES
Be 9.01 Be.upf
Hg 200.59 Hg.upf
CELL_PARAMETERS angstrom
5.904 0.000 0.000
-2.952 5.113 0.000
0.000 0.000 5.938
ATOMIC_POSITIONS angstrom
Be 0.000 0.000 0.000
Hg -1.476 2.557 2.969
Hg 0.000 3.409 0.000
Hg 2.952 0.000 2.969
Hg 1.476 2.557 2.969
Hg 2.952 1.704 0.000
```

Summary:
DFT formation energy = 550 meV/atom
energy above the most stable polymorph in this dataset = 359 meV/atom
SG = P6/mmm, No. 191

---

Computed, not measured: a relaxed structure of Dy6P2Se3S at the GGA-PBE level of DFT. Values from VASP.

The structure in Quantum ESPRESSO input format:
```
&SYSTEM
  ibrav = 0, nat = 12, ntyp = 4
/
ATOMIC_SPECIES
Dy 162.50 Dy.upf
P 30.97 P.upf
Se 78.96 Se.upf
S 32.06 S.upf
CELL_PARAMETERS angstrom
8.830 -2.001 0.000
8.830 2.001 0.000
-2.021 0.000 7.851
ATOMIC_POSITIONS angstrom
Dy -0.371 0.000 1.888
Dy 4.917 0.000 3.370
Dy 4.116 0.000 7.080
Dy 11.524 0.000 0.771
Dy 10.723 0.000 4.481
Dy 16.011 0.000 5.963
P 2.264 0.000 2.608
P 13.376 0.000 5.244
Se 1.237 0.000 6.544
Se 7.820 0.000 3.926
Se 14.403 0.000 1.307
S 8.830 0.000 0.000
```

Summary:
SG = C2/m, No. 12

---

Computed, not measured: a relaxed structure of CePm2Mg at the GGA-PBE level of DFT. Values from VASP.

The structure in Quantum ESPRESSO input format:
```
&SYSTEM
  ibrav = 0, nat = 4, ntyp = 3
/
ATOMIC_SPECIES
Ce 140.12 Ce.upf
Pm 145.00 Pm.upf
Mg 24.30 Mg.upf
CELL_PARAMETERS angstrom
3.582 0.000 0.000
0.000 3.582 0.000
0.000 0.000 9.374
ATOMIC_POSITIONS angstrom
Ce 0.000 0.000 0.000
Pm 1.791 1.791 2.405
Pm 1.791 1.791 6.969
Mg 0.000 0.000 4.687
```

Summary:
DFT formation energy = -4 meV/atom
energy above the most stable polymorph in this dataset = 0 meV/atom
SG = P4/mmm, No. 123

---

Computed, not measured: a relaxed structure of CdSnSb at the GGA-PBE level of DFT. Values from VASP.

The structure in Quantum ESPRESSO input format:
```
&SYSTEM
  ibrav = 0, nat = 12, ntyp = 3
/
ATOMIC_SPECIES
Cd 112.41 Cd.upf
Sn 118.71 Sn.upf
Sb 121.76 Sb.upf
CELL_PARAMETERS angstrom
7.743 0.000 0.000
0.000 6.760 0.000
0.000 0.000 6.705
ATOMIC_POSITIONS angstrom
Cd 1.745 0.856 0.000
Cd 2.126 0.856 3.353
Cd 5.616 5.905 0.000
Cd 5.998 5.905 3.353
Sn 0.284 4.569 1.537
Sn 3.588 4.569 4.889
Sn 4.155 2.192 1.537
Sn 7.459 2.192 4.889
Sb 0.540 5.071 5.221
Sb 3.332 5.071 1.868
Sb 4.411 1.689 5.221
Sb 7.203 1.689 1.868
```

Summary:
SG = Pca2_1, No. 29

---

Computed, not measured: a relaxed structure of Ce4GaIr4 at the GGA-PBE level of DFT. Values from VASP.

The structure in Quantum ESPRESSO input format:
```
&SYSTEM
  ibrav = 0, nat = 9, ntyp = 3
/
ATOMIC_SPECIES
Ce 140.12 Ce.upf
Ga 69.72 Ga.upf
Ir 192.22 Ir.upf
CELL_PARAMETERS angstrom
-4.424 4.424 2.704
4.424 -4.424 2.704
4.424 4.424 -2.704
ATOMIC_POSITIONS angstrom
Ce 6.206 0.763 0.000
Ce 0.763 2.641 0.000
Ce 3.661 1.782 2.704
Ce -1.782 3.661 2.704
Ga 0.000 0.000 2.704
Ir 3.648 2.053 0.000
Ir 2.371 -0.776 2.704
Ir 2.053 5.200 0.000
Ir 0.776 2.371 2.704
```

Summary:
DFT formation energy = -640 meV/atom
SG = I4/m, No. 87

---

Computed, not measured: a relaxed structure of KDy2AuS4 at the GGA-PBE level of DFT. Values from VASP.

The structure in Quantum ESPRESSO input format:
```
&SYSTEM
  ibrav = 0, nat = 16, ntyp = 4
/
ATOMIC_SPECIES
K 39.10 K.upf
Dy 162.50 Dy.upf
Au 196.97 Au.upf
S 32.06 S.upf
CELL_PARAMETERS angstrom
2.014 -6.778 0.000
2.014 6.778 0.000
0.000 0.000 14.122
ATOMIC_POSITIONS angstrom
K 2.014 5.149 10.592
K 2.014 -5.149 3.531
Dy 2.014 1.779 8.010
Dy 2.014 1.779 13.173
Dy 2.014 -1.779 0.949
Dy 2.014 -1.779 6.112
Au 2.014 4.619 3.531
Au 2.014 -4.619 10.592
S 0.000 0.000 0.000
S 0.000 0.000 7.061
S 2.014 3.207 1.446
S 2.014 3.207 5.615
S 2.014 0.696 10.592
S 2.014 -0.696 3.531
S 2.014 -3.207 8.507
S 2.014 -3.207 12.677
```

Summary:
SG = Cmcm, No. 63

---

Summary of mass density in g/cm3
9.37, 7.81, 6.27, 6.68, 10.98, 5.94
(order as listed above)
Summary of E in eV/cell
-1.94, -74.93, -17.05, -35.17, -67.97, -84.92
(order as listed above)
Summary of volume in Å³/cell
179.3, 277.5, 120.3, 351.0, 211.6, 385.6
(order as listed above)